No. 1
Entry from Alexandria: an optimized crystal structure of PtPb2Br (GGA-PBEsol).

a b c (Å): 3.914 3.914 8.281
angles (deg): 103.77 103.77 60.03
Sites, in units of the cell vectors:
Pt: 0.000 0.000 0.000
Pb: 0.264 0.264 0.792
Pb: 0.736 0.736 0.208
Br: 0.500 0.500 0.500

## Properties
energy relative to the elements, uncorrected: -0.331 eV per atom
total moment: 0.000 μB per atom
uncorrected energy: -18.15 eV per formula unit
energy above the lowest structure with this stoichiometry: 0.0 meV per atom


No. 2
Entry from Alexandria: an optimized crystal structure of Sb2PdRhI (GGA-PBEsol).

a b c (Å): 4.968 4.968 5.393
angles (deg): 90.00 90.00 90.00
Sites, in units of the cell vectors:
Sb: 0.000 0.500 0.000
Sb: 0.500 0.000 0.000
Pd: 0.000 0.000 0.500
Rh: 0.500 0.500 0.000
I: 0.500 0.500 0.500

## Properties
energy relative to the elements, uncorrected: 0.563 eV per atom
total moment: 0.000 μB per atom
uncorrected energy: -22.16 eV per formula unit


No. 3
Entry from Alexandria: an optimized crystal structure of ZrC3Cl (GGA-PBEsol).

a b c (Å): 4.379 4.379 4.379
angles (deg): 90.00 90.00 90.00
Sites, in units of the cell vectors:
Zr: 0.000 0.000 0.000
C: 0.000 0.000 0.500
C: 0.000 0.500 0.000
C: 0.500 0.000 0.000
Cl: 0.500 0.500 0.500

## Properties
energy relative to the elements, uncorrected: 2.555 eV per atom
total moment: 0.191 μB per atom
uncorrected energy: -27.25 eV per formula unit


No. 4
Entry from Alexandria: an optimized crystal structure of CuPdO3 (GGA-PBEsol).

a b c (Å): 3.846 3.846 3.846
angles (deg): 90.00 90.00 90.00
Sites, in units of the cell vectors:
Cu: 0.000 0.000 0.000
Pd: 0.500 0.500 0.500
O: 0.000 0.500 0.500
O: 0.500 0.000 0.500
O: 0.500 0.500 0.000

## Properties
energy relative to the elements, uncorrected: 0.355 eV per atom
total moment: 0.328 μB per atom
uncorrected energy: -24.27 eV per formula unit


No. 5
Entry from Alexandria: an optimized crystal structure of KLi3GeO4 (GGA-PBEsol).

a b c (Å): 5.824 7.445 9.893
angles (deg): 83.35 76.47 79.60
Sites, in units of the cell vectors:
K: 0.001 0.383 0.384
K: 0.041 0.141 0.128
K: 0.959 0.859 0.872
K: 0.999 0.617 0.616
Li: 0.188 0.945 0.395
Li: 0.190 0.448 0.897
Li: 0.195 0.176 0.647
Li: 0.431 0.047 0.876
Li: 0.464 0.573 0.372
Li: 0.476 0.321 0.115
Li: 0.524 0.679 0.885
Li: 0.536 0.427 0.628
Li: 0.569 0.953 0.124
Li: 0.805 0.824 0.353
Li: 0.810 0.552 0.103
Li: 0.812 0.055 0.605
Ge: 0.166 0.706 0.148
Ge: 0.443 0.791 0.634
Ge: 0.557 0.209 0.366
Ge: 0.834 0.294 0.852
O: 0.141 0.203 0.850
O: 0.178 0.711 0.325
O: 0.188 0.936 0.593
O: 0.192 0.485 0.091
O: 0.347 0.609 0.758
O: 0.364 0.838 0.034
O: 0.380 0.328 0.509
O: 0.392 0.104 0.277
O: 0.608 0.896 0.723
O: 0.620 0.672 0.491
O: 0.636 0.162 0.966
O: 0.653 0.391 0.242
O: 0.808 0.515 0.909
O: 0.812 0.064 0.407
O: 0.822 0.289 0.675
O: 0.859 0.797 0.150

## Properties
energy relative to the elements, uncorrected: -1.956 eV per atom
total moment: 0.000 μB per atom
uncorrected energy: -50.58 eV per formula unit


No. 6
Entry from Alexandria: an optimized crystal structure of NaAl2Ga2 (GGA-PBEsol).

a b c (Å): 6.361 6.361 6.361
angles (deg): 142.07 142.07 54.72
Sites, in units of the cell vectors:
Na: 0.000 0.000 0.000
Al: 0.250 0.750 0.500
Al: 0.750 0.250 0.500
Ga: 0.391 0.391 0.000
Ga: 0.609 0.609 0.000

## Properties
total moment: 0.000 μB per atom
uncorrected energy: -16.85 eV per formula unit


No. 7
Entry from Alexandria: an optimized crystal structure of SrBe3Os (GGA-PBEsol).

a b c (Å): 4.354 4.354 4.354
angles (deg): 90.00 90.00 90.00
Sites, in units of the cell vectors:
Sr: 0.000 0.000 0.000
Be: 0.000 0.000 0.500
Be: 0.000 0.500 0.000
Be: 0.500 0.000 0.000
Os: 0.500 0.500 0.500

## Properties
total moment: 0.433 μB per atom
uncorrected energy: -11.10 eV per formula unit
energy above the lowest structure with this stoichiometry: 2837.0 meV per atom


No. 8
Entry from Alexandria: an optimized crystal structure of TiPN3 (GGA-PBEsol).

a b c (Å): 3.887 3.887 3.887
angles (deg): 90.00 90.00 90.00
Sites, in units of the cell vectors:
Ti: 0.000 0.000 0.000
P: 0.500 0.500 0.500
N: 0.000 0.000 0.500
N: 0.000 0.500 0.000
N: 0.500 0.000 0.000

## Properties
energy relative to the elements, uncorrected: 0.980 eV per atom
total moment: 0.089 μB per atom
uncorrected energy: -34.79 eV per formula unit


No. 9
Entry from Alexandria: an optimized crystal structure of WS2NO (GGA-PBEsol).

a b c (Å): 4.653 4.653 3.822
angles (deg): 90.00 90.00 90.00
Sites, in units of the cell vectors:
W: 0.000 0.000 0.000
S: 0.000 0.500 0.000
S: 0.500 0.000 0.000
N: 0.000 0.000 0.500
O: 0.500 0.500 0.500

## Properties
energy relative to the elements, uncorrected: 0.680 eV per atom
total moment: 0.430 μB per atom
uncorrected energy: -32.95 eV per formula unit


No. 10
Entry from Alexandria: an optimized crystal structure of CrCuRu2 (GGA-PBEsol).

a b c (Å): 2.626 2.626 7.239
angles (deg): 90.00 90.00 90.00
Sites, in units of the cell vectors:
Cr: 0.000 0.000 0.000
Cu: 0.500 0.500 0.240
Ru: 0.000 0.000 0.496
Ru: 0.500 0.500 0.754

## Properties
total moment: 0.000 μB per atom
uncorrected energy: -33.83 eV per formula unit


No. 11
Entry from Alexandria: an optimized crystal structure of CsTe2PdN (GGA-PBEsol).

a b c (Å): 6.094 6.094 3.630
angles (deg): 90.00 90.00 90.00
Sites, in units of the cell vectors:
Cs: 0.000 0.000 0.000
Te: 0.000 0.500 0.500
Te: 0.500 0.000 0.500
Pd: 0.500 0.500 0.500
N: 0.500 0.500 0.000

## Properties
energy relative to the elements, uncorrected: 0.271 eV per atom
total moment: 0.000 μB per atom
uncorrected energy: -21.13 eV per formula unit


No. 12
Entry from Alexandria: an optimized crystal structure of LiFe6Ge6 (GGA-PBEsol).

a b c (Å): 8.560 8.560 7.867
angles (deg): 90.00 90.00 120.00
Sites, in units of the cell vectors:
Li: 0.000 0.000 0.000
Li: 0.333 0.667 0.500
Li: 0.667 0.333 0.500
Fe: 0.000 0.500 0.247
Fe: 0.000 0.500 0.753
Fe: 0.167 0.334 0.252
Fe: 0.167 0.334 0.748
Fe: 0.167 0.833 0.252
Fe: 0.167 0.833 0.748
Fe: 0.334 0.167 0.252
Fe: 0.334 0.167 0.748
Fe: 0.500 0.000 0.247
Fe: 0.500 0.000 0.753
Fe: 0.500 0.500 0.247
Fe: 0.500 0.500 0.753
Fe: 0.666 0.833 0.252
Fe: 0.666 0.833 0.748
Fe: 0.833 0.167 0.252
Fe: 0.833 0.167 0.748
Fe: 0.833 0.666 0.252
Fe: 0.833 0.666 0.748
Ge: 0.000 0.000 0.338
Ge: 0.000 0.000 0.662
Ge: 0.000 0.328 0.000
Ge: 0.000 0.338 0.500
Ge: 0.000 0.662 0.500
Ge: 0.000 0.672 0.000
Ge: 0.328 0.000 0.000
Ge: 0.328 0.328 0.000
Ge: 0.333 0.667 0.163
Ge: 0.333 0.667 0.837
Ge: 0.338 0.000 0.500
Ge: 0.338 0.338 0.500
Ge: 0.662 0.000 0.500
Ge: 0.662 0.662 0.500
Ge: 0.667 0.333 0.163
Ge: 0.667 0.333 0.837
Ge: 0.672 0.000 0.000
Ge: 0.672 0.672 0.000

## Properties
total moment: 0.624 μB per atom
uncorrected energy: -88.59 eV per formula unit